[1]
DFT (PBE) results for a relaxed AcPm3Hg6 crystal.

Summary:
DOS at the Fermi energy	0.82	states/eV per atom
calculated formation energy	-0.44	eV/atom

Cell lengths 9.557, 5.303, 11.662 Å; angles 90.00, 107.48, 90.00 degrees
Space group P2_1/m (No. 11)
Symmetry-distinct sites (fractional):
Ac  0.070  0.250  0.381
Pm  0.227  0.250  0.000
Pm  0.353  0.750  0.810
Pm  0.498  0.250  0.614
Hg  0.059  0.750  0.912
Hg  0.149  0.750  0.202
Hg  0.184  0.250  0.693
Hg  0.262  0.750  0.528
Hg  0.359  0.250  0.282
Hg  0.459  0.750  0.095

[2]
DFT (PBE) results for a relaxed AcPmHg crystal.

Summary:
polymorph energy (0 for the lowest one)	22	meV per atom
DOS at the Fermi energy	0.87	states/eV per atom
calculated formation energy	-0.31	eV/atom

Cell lengths 7.151, 7.153, 8.108 Å; angles 90.00, 90.07, 90.00 degrees
Space group C2/m (No. 12)
Symmetry-distinct sites (fractional):
Ac  0.250  0.000  0.134
Pm  0.000  0.250  0.500
Hg  0.250  0.000  0.741

[3]
DFT (PBE) results for a relaxed AcPm5Hg6 crystal.

Summary:
DOS at the Fermi energy	1.16	states/eV per atom
calculated formation energy	-0.46	eV/atom

Cell lengths 5.429, 7.739, 8.605 Å; angles 90.00, 108.25, 90.00 degrees
Space group P2/m (No. 10)
Symmetry-distinct sites (fractional):
Ac  0.000  0.000  0.000
Pm  0.000  0.500  0.000
Pm  0.331  0.000  0.663
Pm  0.335  0.500  0.670
Hg  0.172  0.258  0.343
Hg  0.500  0.262  0.000

[4]
DFT (PBE) results for a relaxed AcPm3Hg2 crystal.

Summary:
DOS at the Fermi energy	1.35	states/eV per atom
calculated formation energy	-0.31	eV/atom

Cell lengths 3.825, 3.825, 12.831 Å; angles 90.00, 90.00, 90.00 degrees
Space group P4/mmm (No. 123)
Symmetry-distinct sites (fractional):
Ac  0.000  0.000  0.000
Pm  0.500  0.500  0.206
Pm  0.500  0.500  0.500
Hg  0.000  0.000  0.351

[5]
DFT (PBE) results for a relaxed Ac9Pm4Hg11 crystal.

Summary:
DOS at the Fermi energy	1.03	states/eV per atom
calculated formation energy	-0.38	eV/atom

Cell lengths 16.572, 24.175, 3.839 Å; angles 90.00, 90.00, 90.00 degrees
Space group Cmmm (No. 65)
Symmetry-distinct sites (fractional):
Ac  0.000  0.000  0.000
Ac  0.115  0.242  0.000
Ac  0.125  0.417  0.000
Pm  0.153  0.095  0.000
Hg  0.000  0.133  0.500
Hg  0.000  0.332  0.500
Hg  0.000  0.500  0.500
Hg  0.227  0.000  0.500
Hg  0.239  0.325  0.500

[6]
DFT (PBE) results for a relaxed AcPm2Hg4 crystal.

Summary:
DOS at the Fermi energy	0.59	states/eV per atom
calculated formation energy	-0.37	eV/atom

Cell lengths 7.422, 11.271, 5.301 Å; angles 90.00, 90.00, 90.00 degrees
Space group Cmmm (No. 65)
Symmetry-distinct sites (fractional):
Ac  0.000  0.000  0.000
Pm  0.000  0.263  0.500
Hg  0.221  0.500  0.500
Hg  0.250  0.250  0.000

[7]
DFT (PBE) results for a relaxed Ac4Pm3Hg crystal.

Summary:
DOS at the Fermi energy	1.36	states/eV per atom
calculated formation energy	-0.09	eV/atom

Cell lengths 3.934, 3.934, 19.743 Å; angles 90.00, 90.00, 90.00 degrees
Space group P4/mmm (No. 123)
Symmetry-distinct sites (fractional):
Ac  0.000  0.000  0.106
Ac  0.000  0.000  0.370
Pm  0.500  0.500  0.241
Pm  0.500  0.500  0.500
Hg  0.500  0.500  0.000

[8]
DFT (PBE) results for a relaxed AcPmHg crystal.

Summary:
polymorph energy (0 for the lowest one)	36	meV per atom
DOS at the Fermi energy	1.32	states/eV per atom
calculated formation energy	-0.30	eV/atom

Cell lengths 3.914, 3.914, 13.206 Å; angles 90.00, 90.00, 90.00 degrees
Space group I4mm (No. 107)
Symmetry-distinct sites (fractional):
Ac  0.000  0.000  0.000
Pm  0.000  0.000  0.298
Hg  0.000  0.000  0.669